Entry 1:
DFT (GGA-PBE) results for a relaxed structure of ScZnCuRh.

The structure in extended XYZ format:
```
4
Lattice="4.103 0.000 0.000 0.000 4.103 0.000 -2.052 -2.052 3.601" Properties=species:S:1:pos:R:3 pbc="T T T"
Sc 0.000 2.051 1.800
Zn 2.052 0.000 1.801
Cu 2.052 2.051 3.601
Rh 2.052 2.051 0.000
```

Properties
The total magnetization comes out at 0.00 μB per cell. As for the space group: I-4m2 (119).

***

Entry 2:
DFT (GGA-PBE) results for a relaxed structure of CuRh2Se.

The structure in extended XYZ format:
```
8
Lattice="-1.806 -0.476 -5.418 5.201 -1.820 -1.573 0.310 -5.873 -2.618" Properties=species:S:1:pos:R:3 pbc="T T T"
Rh -0.428 -2.000 -4.318
Rh 3.129 -2.658 -2.235
Rh 1.429 -5.239 -4.562
Rh 3.281 -6.441 -8.104
Cu 1.698 -1.148 -3.496
Cu 3.605 -4.420 -3.844
Se 0.000 0.000 0.000
Se 0.101 -3.749 -5.766
```

Properties
The total magnetization comes out at 0.00 μB per cell. As for the space group: I-42d (122). The raw formation energy comes out at 472.6 meV per atom.

***

no.,final energy (eV for the cell shown)
1,-21.0
2,-40.8